#A
In2BiSe | Alexandria via LeMat-Bulk | PBE | relaxed; crystal system = tetragonal; space-group type = P4/mmm
1.0
3.608 0.000 0.000
0.000 3.608 0.000
0.000 0.000 8.381
In Bi Se
2 1 1
direct
0.000 0.000 0.212 In
0.000 0.000 0.788 In
0.500 0.500 0.500 Bi
0.500 0.500 0.000 Se

#B
In2BiSe | Alexandria via LeMat-Bulk | PBE | relaxed; crystal system = trigonal; space-group type = R3m
1.0
4.816 0.000 0.000
-2.408 4.171 0.000
0.000 0.000 22.548
In Bi Se
6 3 3
direct
0.000 0.000 0.000 In
0.000 0.000 0.489 In
0.333 0.667 0.155 In
0.333 0.667 0.667 In
0.667 0.333 0.333 In
0.667 0.333 0.822 In
0.000 0.000 0.624 Bi
0.333 0.667 0.290 Bi
0.667 0.333 0.957 Bi
0.000 0.000 0.122 Se
0.333 0.667 0.788 Se
0.667 0.333 0.455 Se

#C
In2BiSe | Alexandria via LeMat-Bulk | PBE | relaxed; crystal system = orthorhombic; space-group type = Pmna
1.0
6.141 0.000 0.000
0.000 6.142 0.000
0.000 0.000 12.180
In Bi Se
8 4 4
direct
0.000 0.248 0.138 In
0.000 0.250 0.611 In
0.000 0.750 0.389 In
0.000 0.752 0.862 In
0.500 0.248 0.362 In
0.500 0.250 0.889 In
0.500 0.750 0.111 In
0.500 0.752 0.638 In
0.000 0.252 0.875 Bi
0.000 0.748 0.125 Bi
0.500 0.252 0.625 Bi
0.500 0.748 0.375 Bi
0.000 0.249 0.375 Se
0.000 0.751 0.625 Se
0.500 0.249 0.125 Se
0.500 0.751 0.875 Se

Of them, #C has the highest stability.

#A
InBiSe3 | Alexandria via LeMat-Bulk | PBE | relaxed; crystal system = trigonal; space-group type = R3m
1.0
4.102 0.000 0.000
-2.051 3.553 0.000
0.000 0.000 30.384
In Bi Se
3 3 9
direct
0.000 0.000 0.000 In
0.333 0.667 0.667 In
0.667 0.333 0.333 In
0.000 0.000 0.208 Bi
0.333 0.667 0.875 Bi
0.667 0.333 0.541 Bi
0.000 0.000 0.377 Se
0.000 0.000 0.607 Se
0.000 0.000 0.822 Se
0.333 0.667 0.043 Se
0.333 0.667 0.274 Se
0.333 0.667 0.489 Se
0.667 0.333 0.155 Se
0.667 0.333 0.710 Se
0.667 0.333 0.941 Se

#B
InBiSe3 | Alexandria via LeMat-Bulk | PBE | relaxed; crystal system = orthorhombic; space-group type = Cmc2_1
1.0
2.006 -10.603 0.000
2.006 10.603 0.000
0.000 0.000 7.209
In Bi Se
2 2 6
direct
0.151 0.849 0.500 In
0.849 0.151 0.000 In
0.340 0.660 0.516 Bi
0.660 0.340 0.016 Bi
0.084 0.916 0.177 Se
0.262 0.738 0.877 Se
0.410 0.590 0.179 Se
0.590 0.410 0.679 Se
0.738 0.262 0.377 Se
0.916 0.084 0.677 Se

Of them, #A has the highest stability.

#A
InBiSe3 | Alexandria via LeMat-Bulk | PBE | relaxed; crystal system = orthorhombic; space-group type = Pnma
1.0
10.064 0.000 0.000
0.000 4.155 0.000
0.000 0.000 13.850
In Bi Se
4 4 12
direct
0.148 0.250 0.046 In
0.352 0.750 0.546 In
0.648 0.250 0.454 In
0.852 0.750 0.954 In
0.025 0.250 0.640 Bi
0.475 0.750 0.140 Bi
0.525 0.250 0.860 Bi
0.975 0.750 0.360 Bi
0.000 0.250 0.882 Se
0.000 0.750 0.118 Se
0.164 0.250 0.467 Se
0.196 0.750 0.705 Se
0.304 0.250 0.205 Se
0.336 0.750 0.967 Se
0.500 0.250 0.618 Se
0.500 0.750 0.382 Se
0.664 0.250 0.033 Se
0.696 0.750 0.795 Se
0.804 0.250 0.295 Se
0.836 0.750 0.533 Se

#B
InBiSe3 | Alexandria via LeMat-Bulk | PBE | relaxed; crystal system = cubic; space-group type = Pm-3m
1.0
5.550 0.000 0.000
0.000 5.550 0.000
0.000 0.000 5.550
In Bi Se
1 1 3
direct
0.000 0.000 0.000 In
0.500 0.500 0.500 Bi
0.000 0.500 0.500 Se
0.500 0.000 0.500 Se
0.500 0.500 0.000 Se

Of them, #A has the highest stability.

#A
InBi3Se6 | Alexandria via LeMat-Bulk | PBE | relaxed; crystal system = trigonal; space-group type = R3m
1.0
2.072 1.197 20.432
-2.072 1.197 20.432
0.000 -2.393 20.432
In Bi Se
1 3 6
direct
0.000 0.000 0.000 In
0.103 0.103 0.103 Bi
0.501 0.501 0.501 Bi
0.605 0.605 0.605 Bi
0.193 0.193 0.193 Se
0.304 0.304 0.304 Se
0.411 0.411 0.411 Se
0.688 0.688 0.688 Se
0.802 0.802 0.802 Se
0.913 0.913 0.913 Se

#B
InBi3Se6 | Alexandria via LeMat-Bulk | PBE | relaxed; crystal system = monoclinic; space-group type = P2_1/m
1.0
12.689 0.000 0.000
0.000 4.199 0.000
-2.235 0.000 12.528
In Bi Se
2 6 12
direct
0.092 0.250 0.433 In
0.908 0.750 0.567 In
0.086 0.750 0.869 Bi
0.366 0.250 0.956 Bi
0.418 0.750 0.376 Bi
0.582 0.250 0.624 Bi
0.634 0.750 0.044 Bi
0.914 0.250 0.131 Bi
0.042 0.250 0.631 Se
0.135 0.250 0.014 Se
0.242 0.250 0.326 Se
0.277 0.750 0.801 Se
0.419 0.750 0.593 Se
0.437 0.750 0.118 Se
0.563 0.250 0.882 Se
0.581 0.250 0.407 Se
0.723 0.250 0.199 Se
0.758 0.750 0.674 Se
0.865 0.750 0.986 Se
0.958 0.750 0.369 Se

Of them, #A has the highest stability.

#A
InSi2Bi2 | Alexandria via LeMat-Bulk | PBE | relaxed; crystal system = tetragonal; space-group type = P4/mbm
1.0
8.144 0.000 0.000
0.000 8.144 0.000
0.000 0.000 3.829
In Si Bi
2 4 4
direct
0.000 0.000 0.000 In
0.500 0.500 0.000 In
0.108 0.392 0.000 Si
0.392 0.892 0.000 Si
0.608 0.108 0.000 Si
0.892 0.608 0.000 Si
0.176 0.676 0.500 Bi
0.324 0.176 0.500 Bi
0.676 0.824 0.500 Bi
0.824 0.324 0.500 Bi

#B
InSi2Bi2 | Alexandria via LeMat-Bulk | PBE | relaxed; crystal system = tetragonal; space-group type = I4/mmm
1.0
3.452 0.000 0.000
0.000 3.452 0.000
0.000 0.000 21.360
In Si Bi
2 4 4
direct
0.000 0.000 0.000 In
0.500 0.500 0.500 In
0.000 0.500 0.250 Si
0.000 0.500 0.750 Si
0.500 0.000 0.250 Si
0.500 0.000 0.750 Si
0.000 0.000 0.379 Bi
0.000 0.000 0.621 Bi
0.500 0.500 0.121 Bi
0.500 0.500 0.879 Bi

Of them, #B has the highest stability.

#A
InSi2Bi | Alexandria via LeMat-Bulk | PBE | relaxed; crystal system = tetragonal; space-group type = I-42d
1.0
6.208 0.000 0.000
0.000 6.208 0.000
0.000 0.000 12.446
In Si Bi
4 8 4
direct
0.000 0.000 0.000 In
0.000 0.500 0.250 In
0.500 0.000 0.750 In
0.500 0.500 0.500 In
0.235 0.250 0.125 Si
0.250 0.735 0.375 Si
0.250 0.765 0.875 Si
0.265 0.250 0.625 Si
0.735 0.750 0.625 Si
0.750 0.235 0.875 Si
0.750 0.265 0.375 Si
0.765 0.750 0.125 Si
0.000 0.000 0.500 Bi
0.000 0.500 0.750 Bi
0.500 0.000 0.250 Bi
0.500 0.500 0.000 Bi

#B
InSi2Bi | Alexandria via LeMat-Bulk | PBE | relaxed; crystal system = cubic; space-group type = Fm-3m
1.0
7.156 0.000 0.000
0.000 7.156 0.000
0.000 0.000 7.156
In Si Bi
4 8 4
direct
0.000 0.000 0.000 In
0.000 0.500 0.500 In
0.500 0.000 0.500 In
0.500 0.500 0.000 In
0.250 0.250 0.250 Si
0.250 0.250 0.750 Si
0.250 0.750 0.250 Si
0.250 0.750 0.750 Si
0.750 0.250 0.250 Si
0.750 0.250 0.750 Si
0.750 0.750 0.250 Si
0.750 0.750 0.750 Si
0.000 0.000 0.500 Bi
0.000 0.500 0.000 Bi
0.500 0.000 0.000 Bi
0.500 0.500 0.500 Bi

Of them, #A has the highest stability.

#A
Sm2InBi4 | Alexandria via LeMat-Bulk | PBE | relaxed; crystal system = monoclinic; space-group type = C2/m
1.0
16.562 0.000 0.000
0.000 4.628 0.000
-1.818 0.000 6.116
Sm In Bi
4 2 8
direct
0.213 0.000 0.249 Sm
0.287 0.500 0.751 Sm
0.713 0.500 0.249 Sm
0.787 0.000 0.751 Sm
0.000 0.000 0.000 In
0.500 0.500 0.000 In
0.080 0.500 0.342 Bi
0.146 0.000 0.727 Bi
0.354 0.500 0.273 Bi
0.420 0.000 0.658 Bi
0.580 0.000 0.342 Bi
0.646 0.500 0.727 Bi
0.854 0.000 0.273 Bi
0.920 0.500 0.658 Bi

#B
Sm2InBi4 | Alexandria via LeMat-Bulk | PBE | relaxed; crystal system = tetragonal; space-group type = I4/mmm
1.0
7.103 0.000 0.000
0.000 7.103 0.000
0.000 0.000 8.963
Sm In Bi
4 2 8
direct
0.000 0.500 0.000 Sm
0.000 0.500 0.500 Sm
0.500 0.000 0.000 Sm
0.500 0.000 0.500 Sm
0.000 0.000 0.000 In
0.500 0.500 0.500 In
0.250 0.250 0.250 Bi
0.250 0.250 0.750 Bi
0.250 0.750 0.250 Bi
0.250 0.750 0.750 Bi
0.750 0.250 0.250 Bi
0.750 0.250 0.750 Bi
0.750 0.750 0.250 Bi
0.750 0.750 0.750 Bi

Of them, #B has the highest stability.

#A
In2SnBi | Alexandria via LeMat-Bulk | PBE | relaxed; crystal system = tetragonal; space-group type = P4/mmm
1.0
5.048 0.000 0.000
0.000 5.048 0.000
0.000 0.000 4.500
In Sn Bi
2 1 1
direct
0.000 0.500 0.000 In
0.500 0.000 0.000 In
0.000 0.000 0.500 Sn
0.500 0.500 0.500 Bi

#B
In2SnBi | Alexandria via LeMat-Bulk | PBE | relaxed; crystal system = monoclinic; space-group type = P2_1/m
1.0
6.613 0.000 0.000
0.000 5.157 0.000
-0.360 0.000 6.881
In Sn Bi
4 2 2
direct
0.134 0.250 0.116 In
0.331 0.750 0.362 In
0.669 0.250 0.638 In
0.866 0.750 0.884 In
0.352 0.750 0.892 Sn
0.648 0.250 0.108 Sn
0.193 0.250 0.610 Bi
0.807 0.750 0.390 Bi

#C
In2SnBi | Alexandria via LeMat-Bulk | PBE | relaxed; crystal system = hexagonal; space-group type = P6_3/mmc
1.0
4.608 0.000 0.000
-2.304 3.991 0.000
0.000 0.000 13.868
In Sn Bi
4 2 2
direct
0.333 0.667 0.116 In
0.333 0.667 0.384 In
0.667 0.333 0.616 In
0.667 0.333 0.884 In
0.000 0.000 0.000 Sn
0.000 0.000 0.500 Sn
0.000 0.000 0.250 Bi
0.000 0.000 0.750 Bi

Of them, #B has the highest stability.

#A
InSn2Bi2 | Alexandria via LeMat-Bulk | PBE | relaxed; crystal system = monoclinic; space-group type = C2/c
1.0
5.665 -5.197 0.000
5.665 5.197 0.000
-5.001 0.000 5.743
In Sn Bi
2 4 4
direct
0.159 0.841 0.750 In
0.841 0.159 0.250 In
0.121 0.476 0.294 Sn
0.476 0.121 0.794 Sn
0.524 0.879 0.206 Sn
0.879 0.524 0.706 Sn
0.142 0.858 0.250 Bi
0.497 0.503 0.750 Bi
0.503 0.497 0.250 Bi
0.858 0.142 0.750 Bi

#B
InSn2Bi2 | Alexandria via LeMat-Bulk | PBE | relaxed; crystal system = orthorhombic; space-group type = Pnma
1.0
6.664 0.000 0.000
0.000 4.183 0.000
0.000 0.000 22.367
In Sn Bi
4 8 8
direct
0.134 0.250 0.062 In
0.366 0.750 0.562 In
0.634 0.250 0.438 In
0.866 0.750 0.938 In
0.123 0.750 0.770 Sn
0.189 0.750 0.360 Sn
0.311 0.250 0.860 Sn
0.377 0.250 0.270 Sn
0.623 0.750 0.730 Sn
0.689 0.750 0.140 Sn
0.811 0.250 0.640 Sn
0.877 0.250 0.230 Sn
0.173 0.250 0.466 Bi
0.226 0.750 0.169 Bi
0.274 0.250 0.669 Bi
0.327 0.750 0.966 Bi
0.673 0.250 0.034 Bi
0.726 0.750 0.331 Bi
0.774 0.250 0.831 Bi
0.827 0.750 0.534 Bi

Of them, #B has the highest stability.

#A
InSn2Bi2 | Alexandria via LeMat-Bulk | PBE | relaxed; crystal system = tetragonal; space-group type = I4/mmm
1.0
4.734 0.000 0.000
0.000 4.734 0.000
0.000 0.000 15.096
In Sn Bi
2 4 4
direct
0.000 0.000 0.000 In
0.500 0.500 0.500 In
0.000 0.000 0.399 Sn
0.000 0.000 0.601 Sn
0.500 0.500 0.101 Sn
0.500 0.500 0.899 Sn
0.000 0.500 0.250 Bi
0.000 0.500 0.750 Bi
0.500 0.000 0.250 Bi
0.500 0.000 0.750 Bi

#B
InSn2Bi2 | Alexandria via LeMat-Bulk | PBE | relaxed; crystal system = tetragonal; space-group type = P4/mbm
1.0
8.771 0.000 0.000
0.000 8.771 0.000
0.000 0.000 4.048
In Sn Bi
2 4 4
direct
0.000 0.000 0.000 In
0.500 0.500 0.000 In
0.140 0.360 0.000 Sn
0.360 0.860 0.000 Sn
0.640 0.140 0.000 Sn
0.860 0.640 0.000 Sn
0.151 0.651 0.500 Bi
0.349 0.151 0.500 Bi
0.651 0.849 0.500 Bi
0.849 0.349 0.500 Bi

Of them, #B has the highest stability.